1.
Computed, not measured: a geometry-optimized LaInCo2 structure at the PBE level of DFT.

Lattice parameters (Å, degrees): 5.437 5.437 4.722 105.29 105.29 33.16
Positions (direct):
La 0.000 0.000 0.000
In 0.221 0.221 0.637
Co 0.476 0.476 0.488
Co 0.789 0.789 0.205

Calculated values
Energy of formation ... 0.129 eV/atom
Total magnetic moment ... 1.25 μB/f.u.
Final energy ... -5.341 eV per atom

***

2.
Computed, not measured: a geometry-optimized La8InCo2 structure at the PBE level of DFT.

Lattice parameters (Å, degrees): 7.717 7.717 6.441 92.46 92.46 65.14
Positions (direct):
La 0.060 0.624 0.315
La 0.100 0.100 0.198
La 0.373 0.373 0.933
La 0.376 0.940 0.685
La 0.624 0.060 0.315
La 0.627 0.627 0.067
La 0.900 0.900 0.802
La 0.940 0.376 0.685
In 0.500 0.500 0.500
Co 0.285 0.285 0.492
Co 0.715 0.715 0.508

Calculated values
Energy of formation ... -0.088 eV/atom
Distance to the lowest polymorph of the same formula ... 11 meV/atom
Total magnetic moment ... 0.00 μB/f.u.
Final energy ... -5.213 eV per atom

***

3.
Computed, not measured: a geometry-optimized LaInCo2 structure at the PBE level of DFT.

Lattice parameters (Å, degrees): 3.375 3.371 6.578 90.00 90.30 90.00
Positions (direct):
La 0.000 0.000 0.000
In 0.000 0.000 0.500
Co 0.498 0.500 0.299
Co 0.502 0.500 0.701

Calculated values
Energy of formation ... 0.140 eV/atom
Total magnetic moment ... 1.37 μB/f.u.
Final energy ... -5.330 eV per atom

***

4.
Computed, not measured: a geometry-optimized La8InCo2 structure at the PBE level of DFT.

Lattice parameters (Å, degrees): 8.449 8.449 5.244 95.78 95.78 114.30
Positions (direct):
La 0.104 0.104 0.785
La 0.180 0.436 0.448
La 0.236 0.764 0.000
La 0.436 0.180 0.448
La 0.564 0.820 0.552
La 0.764 0.236 0.000
La 0.820 0.564 0.552
La 0.896 0.896 0.215
In 0.500 0.500 0.000
Co 0.198 0.802 0.500
Co 0.802 0.198 0.500

Calculated values
Energy of formation ... -0.100 eV/atom
Distance to the lowest polymorph of the same formula ... 0 meV/atom
Total magnetic moment ... 0.00 μB/f.u.
Final energy ... -5.224 eV per atom

***

5.
Computed, not measured: a geometry-optimized LaInCo2 structure at the PBE level of DFT.

Lattice parameters (Å, degrees): 8.722 8.722 8.722 150.05 150.05 42.86
Positions (direct):
La 0.000 0.000 0.000
La 0.750 0.250 0.500
In 0.250 0.750 0.500
In 0.500 0.500 0.000
Co 0.119 0.625 0.994
Co 0.375 0.369 0.494
Co 0.631 0.125 0.006
Co 0.875 0.881 0.506

Calculated values
Energy of formation ... 0.480 eV/atom
Total magnetic moment ... 0.00 μB/f.u.
Final energy ... -4.990 eV per atom

***

6.
Computed, not measured: a geometry-optimized La6In2Co structure at the PBE level of DFT.

Lattice parameters (Å, degrees): 7.406 7.401 12.760 90.00 125.18 90.00
Positions (direct):
La 0.221 0.000 0.248
La 0.221 0.500 0.748
La 0.267 0.244 0.514
La 0.267 0.256 0.014
La 0.270 0.746 0.014
La 0.270 0.754 0.514
La 0.730 0.246 0.486
La 0.730 0.254 0.986
La 0.733 0.744 0.986
La 0.733 0.756 0.486
La 0.779 0.000 0.752
La 0.779 0.500 0.252
In 0.252 0.501 0.251
In 0.252 0.999 0.751
In 0.748 0.001 0.249
In 0.748 0.499 0.749
Co 0.000 0.000 0.000
Co 0.000 0.500 0.500

Calculated values
Energy of formation ... -0.299 eV/atom
Total magnetic moment ... 0.00 μB/f.u.
Final energy ... -4.982 eV per atom

***

7.
Computed, not measured: a geometry-optimized La12In6Co structure at the PBE level of DFT.

Lattice parameters (Å, degrees): 8.640 8.640 8.640 94.67 94.67 94.67
Positions (direct):
La 0.014 0.919 0.684
La 0.081 0.316 0.986
La 0.192 0.427 0.540
La 0.316 0.986 0.081
La 0.427 0.540 0.192
La 0.460 0.808 0.573
La 0.540 0.192 0.427
La 0.573 0.460 0.808
La 0.684 0.014 0.919
La 0.808 0.573 0.460
La 0.919 0.684 0.014
La 0.986 0.081 0.316
In 0.146 0.735 0.338
In 0.265 0.662 0.854
In 0.338 0.146 0.735
In 0.662 0.854 0.265
In 0.735 0.338 0.146
In 0.854 0.265 0.662
Co 0.000 0.000 0.000

Calculated values
Energy of formation ... -0.246 eV/atom
Total magnetic moment ... 0.00 μB/f.u.
Final energy ... -4.597 eV per atom

***

8.
Computed, not measured: a geometry-optimized La6In3Co structure at the PBE level of DFT.

Lattice parameters (Å, degrees): 10.196 5.262 11.586 90.00 105.51 90.00
Positions (direct):
La 0.027 0.250 0.415
La 0.158 0.750 0.194
La 0.266 0.250 0.024
La 0.382 0.250 0.364
La 0.383 0.750 0.874
La 0.434 0.250 0.665
La 0.566 0.750 0.335
La 0.617 0.250 0.126
La 0.618 0.750 0.636
La 0.734 0.750 0.976
La 0.842 0.250 0.806
La 0.973 0.750 0.585
In 0.045 0.750 0.887
In 0.137 0.250 0.732
In 0.274 0.750 0.500
In 0.726 0.250 0.500
In 0.863 0.750 0.268
In 0.955 0.250 0.113
Co 0.422 0.750 0.117
Co 0.578 0.250 0.883

Calculated values
Energy of formation ... -0.289 eV/atom
Distance to the lowest polymorph of the same formula ... 13 meV/atom
Total magnetic moment ... 0.00 μB/f.u.
Final energy ... -4.778 eV per atom

***

Question: Which formula does entry 7 have?
Answer: La12In6Co

***

Question: The lowest energy of formation belongs to which entry?
Answer: La6In2Co

***

Copy entry 3 word for word.
Computed, not measured: a geometry-optimized LaInCo2 structure at the PBE level of DFT.

Lattice parameters (Å, degrees): 3.375 3.371 6.578 90.00 90.30 90.00
Positions (direct):
La 0.000 0.000 0.000
In 0.000 0.000 0.500
Co 0.498 0.500 0.299
Co 0.502 0.500 0.701

Calculated values
Energy of formation ... 0.140 eV/atom
Total magnetic moment ... 1.37 μB/f.u.
Final energy ... -5.330 eV per atom